No. 1
Computed, not measured: a relaxed structure of SiW at the PBE-GGA level of DFT.

a b c (Å): 4.3130 5.1806 5.4932
angles (deg): 90.00 90.00 90.00
Last column: nearest neighbours and their distance in Å.
Fractional coordinates of all 8 atoms:
Si (0.2500, 0.3704, 0.3545)  7 W 2.56-2.80
W (0.7500, 0.1469, 0.5312)  7 Si 2.56-2.80, 2 W 2.66
Si (0.2500, 0.1296, 0.8545)  7 W 2.56-2.80
W (0.2500, 0.8531, 0.4688)  7 Si 2.56-2.80, 2 W 2.66
W (0.7500, 0.3531, 0.0312)  7 Si 2.56-2.80, 2 W 2.66
Si (0.7500, 0.6296, 0.6455)  7 W 2.56-2.80
Si (0.7500, 0.8704, 0.1455)  7 W 2.56-2.80
W (0.2500, 0.6469, 0.9688)  7 Si 2.56-2.80, 2 W 2.66

No. 2
Computed, not measured: a relaxed structure of SiW at the PBE-GGA level of DFT.

a b c (Å): 3.9428 3.9428 3.9428
angles (deg): 60.00 60.00 60.00
Last column: nearest neighbours and their distance in Å.
Fractional coordinates of all 2 atoms:
Si (0.0000, 0.0000, 0.0000)  4 W 2.41
W (0.7500, 0.7500, 0.7500)  4 Si 2.41

No. 3
Computed, not measured: a relaxed structure of Si2W at the PBE-GGA level of DFT.

## Properties
- energy relative to the lowest polymorph listed for this composition (eV per atom) = 0.357

a b c (Å): 4.7052 4.7052 6.3015
angles (deg): 82.93 82.93 40.45
Last column: nearest neighbours and their distance in Å.
Fractional coordinates of all 6 atoms:
Si (0.3865, 0.3865, 0.6602)  5 W 2.50-2.61, 2 Si 2.57-2.67
Si (0.5785, 0.5785, 0.3156)  6 Si 2.47-2.57, 3 W 2.55-2.60
Si (0.3056, 0.3056, 0.2666)  4 Si 2.47-2.67, 3 W 2.63-2.64
W (0.1084, 0.1084, 0.6194)  7 Si 2.50-2.64
Si (0.0301, 0.0301, 0.0180)  4 W 2.49-2.57, 2 Si 2.56
W (0.7575, 0.7575, 0.9535)  8 Si 2.49-2.63

No. 4
Computed, not measured: a relaxed structure of SiW at the PBE-GGA level of DFT.

a b c (Å): 6.8319 6.8319 6.8319
angles (deg): 90.00 90.00 90.00
Last column: nearest neighbours and their distance in Å.
Fractional coordinates of all 12 atoms:
Si (0.0000, 0.2500, 0.5000)  4 W 2.42
W (0.5000, 0.7500, 0.0000)  4 Si 2.42
W (0.5000, 0.2500, 0.0000)  4 Si 2.42
Si (0.7500, 0.5000, 0.0000)  4 W 2.42
W (0.0000, 0.5000, 0.2500)  4 Si 2.42
Si (0.2500, 0.5000, 0.0000)  4 W 2.42
Si (0.5000, 0.0000, 0.7500)  4 W 2.42
Si (0.5000, 0.0000, 0.2500)  4 W 2.42
W (0.0000, 0.5000, 0.7500)  4 Si 2.42
W (0.7500, 0.0000, 0.5000)  4 Si 2.42
W (0.2500, 0.0000, 0.5000)  4 Si 2.42
Si (0.0000, 0.7500, 0.5000)  4 W 2.42

No. 5
Computed, not measured: a relaxed structure of SiW at the PBE-GGA level of DFT.

a b c (Å): 4.1958 3.0844 4.7077
angles (deg): 109.11 90.00 90.00
Last column: nearest neighbours and their distance in Å.
Fractional coordinates of all 4 atoms:
Si (0.2500, 0.9142, 0.8287)  7 W 2.45-2.65, 2 Si 2.59
W (0.2500, 0.6388, 0.2773)  7 Si 2.45-2.65
W (0.7500, 0.3612, 0.7227)  7 Si 2.45-2.65
Si (0.7500, 0.0858, 0.1713)  7 W 2.45-2.65, 2 Si 2.59

No. 6
Computed, not measured: a relaxed structure of SiW at the PBE-GGA level of DFT.

a b c (Å): 9.0735 9.0735 3.0857
angles (deg): 90.00 90.00 90.00
Last column: nearest neighbours and their distance in Å.
Fractional coordinates of all 16 atoms:
Si (0.5823, 0.3319, 0.5000)  2 Si 2.40, 4 W 2.49-2.57
Si (0.6681, 0.5823, 0.5000)  2 Si 2.40, 4 W 2.49-2.57
W (0.6234, 0.8620, 0.5000)  4 Si 2.49-2.57
W (0.1234, 0.3620, 0.0000)  4 Si 2.49-2.57
W (0.3766, 0.1380, 0.5000)  4 Si 2.49-2.57
W (0.3620, 0.8766, 0.0000)  4 Si 2.49-2.57
Si (0.9177, 0.1681, 0.0000)  2 Si 2.40, 4 W 2.49-2.57
W (0.8620, 0.3766, 0.5000)  4 Si 2.49-2.57
W (0.1380, 0.6234, 0.5000)  4 Si 2.49-2.57
Si (0.3319, 0.4177, 0.5000)  2 Si 2.40, 4 W 2.49-2.57
Si (0.1681, 0.0823, 0.0000)  2 Si 2.40, 4 W 2.49-2.57
Si (0.4177, 0.6681, 0.5000)  2 Si 2.40, 4 W 2.49-2.57
Si (0.0823, 0.8319, 0.0000)  2 Si 2.40, 4 W 2.49-2.57
W (0.8766, 0.6380, 0.0000)  4 Si 2.49-2.57
W (0.6380, 0.1234, 0.0000)  4 Si 2.49-2.57
Si (0.8319, 0.9177, 0.0000)  2 Si 2.40, 4 W 2.49-2.57

| no. | E_form (uncorrected) (eV per formula unit) | ρ (Mg/m³) |
| --- | --- | --- |
| 1 | 0.04 | 11.47 |
| 2 | 2.88 | 8.12 |
| 3 | 0.03 | 8.88 |
| 4 | 3.06 | 6.62 |
| 5 | -0.17 | 12.23 |
| 6 | 0.32 | 11.08 |